(1)
Here is a relaxed structure of Ac8Ru3Rh2 from Alexandria. Energies are from PBE.

a = 8.000 Å, b = 8.000 Å, c = 7.406 Å
α = 90.02°, β = 90.02°, γ = 66.15°
Element x y z (fractional)
Ac 0.114 0.114 0.333
Ac 0.125 0.625 0.167
Ac 0.375 0.875 0.833
Ac 0.379 0.379 0.662
Ac 0.621 0.621 0.338
Ac 0.625 0.125 0.167
Ac 0.875 0.375 0.833
Ac 0.886 0.886 0.667
Ru 0.000 0.000 0.000
Ru 0.264 0.736 0.500
Ru 0.736 0.264 0.500
Rh 0.244 0.244 0.995
Rh 0.756 0.756 0.005

The crystal system is monoclinic. The calculated formation energy is -0.33 eV/atom.



(2)
Here is a relaxed structure of Pm2TmSc2Pd5 from Alexandria. Energies are from PBE.

a = 10.825 Å, b = 10.825 Å, c = 3.613 Å
α = 90.00°, β = 90.00°, γ = 90.00°
Element x y z (fractional)
Pm 0.175 0.325 0.000
Pm 0.325 0.825 0.000
Pm 0.675 0.175 0.000
Pm 0.825 0.675 0.000
Tm 0.000 0.000 0.000
Tm 0.500 0.500 0.000
Sc 0.127 0.627 0.000
Sc 0.373 0.127 0.000
Sc 0.627 0.873 0.000
Sc 0.873 0.373 0.000
Pd 0.000 0.500 0.500
Pd 0.043 0.797 0.500
Pd 0.203 0.043 0.500
Pd 0.297 0.543 0.500
Pd 0.457 0.297 0.500
Pd 0.500 0.000 0.500
Pd 0.543 0.703 0.500
Pd 0.703 0.457 0.500
Pd 0.797 0.957 0.500
Pd 0.957 0.203 0.500

The crystal system is tetragonal. The calculated formation energy is -0.72 eV/atom.



(3)
Here is a relaxed structure of BaN2F2 from Alexandria. Energies are from PBE.

a = 3.850 Å, b = 3.850 Å, c = 5.169 Å
α = 90.00°, β = 90.00°, γ = 90.00°
Element x y z (fractional)
Ba 0.000 0.000 0.000
N 0.000 0.500 0.500
N 0.500 0.000 0.500
F 0.500 0.500 0.000
F 0.500 0.500 0.500

The crystal system is tetragonal. The calculation puts the energy relative to the lowest polymorph listed for this composition at 2.4969 eV per atom. The value obtained for the formation energy from raw total energies is 0.2659 eV/atom.



(4)
Here is a relaxed structure of Tl2RhCl from Alexandria. Energies are from PBE.

a = 3.677 Å, b = 3.677 Å, c = 8.339 Å
α = 102.46°, β = 102.46°, γ = 60.30°
Element x y z (fractional)
Tl 0.238 0.238 0.221
Tl 0.762 0.762 0.779
Rh 0.500 0.500 0.000
Cl 0.000 0.000 0.500

The crystal system is monoclinic. The calculation puts the energy relative to the lowest polymorph listed for this composition at 0.0141 eV per atom. The value obtained for the formation energy from raw total energies is -0.1551 eV/atom.



(5)
Here is a relaxed structure of Sm2Ho7Sc2 from Alexandria. Energies are from PBE.

a = 10.501 Å, b = 10.501 Å, c = 10.501 Å
α = 160.24°, β = 66.28°, γ = 117.46°
Element x y z (fractional)
Sm 0.000 0.000 0.000
Sm 0.687 0.187 0.500
Ho 0.004 0.348 0.656
Ho 0.300 0.108 0.192
Ho 0.348 0.848 0.500
Ho 0.428 0.567 0.861
Ho 0.692 0.348 0.344
Ho 0.706 0.567 0.139
Ho 0.916 0.108 0.808
Sc 0.158 0.850 0.309
Sc 0.541 0.850 0.691

The crystal system is orthorhombic. The calculated formation energy is 0.17 eV/atom. The calculation puts the energy relative to the lowest polymorph listed for this composition at 0.0000 eV per atom.



(6)
Here is a relaxed structure of SrTbGa from Alexandria. Energies are from PBE.

a = 7.257 Å, b = 7.257 Å, c = 7.257 Å
α = 150.08°, β = 150.08°, γ = 42.83°
Element x y z (fractional)
Sr 0.000 0.000 0.000
Tb 0.268 0.268 0.000
Ga 0.660 0.660 0.000

The crystal system is tetragonal. The calculated formation energy is -0.26 eV/atom. The calculation puts the energy relative to the lowest polymorph listed for this composition at 0.0000 eV per atom.



(7)
Here is a relaxed structure of CeDy4Ga4 from Alexandria. Energies are from PBE.

a = 9.181 Å, b = 9.181 Å, c = 5.922 Å
α = 90.00°, β = 90.00°, γ = 90.00°
Element x y z (fractional)
Ce 0.250 0.250 0.250
Ce 0.750 0.750 0.750
Dy 0.075 0.656 0.130
Dy 0.156 0.925 0.630
Dy 0.344 0.575 0.630
Dy 0.425 0.844 0.130
Dy 0.575 0.156 0.870
Dy 0.656 0.425 0.370
Dy 0.844 0.075 0.370
Dy 0.925 0.344 0.870
Ga 0.027 0.613 0.622
Ga 0.113 0.973 0.122
Ga 0.387 0.527 0.122
Ga 0.473 0.887 0.622
Ga 0.527 0.113 0.378
Ga 0.613 0.473 0.878
Ga 0.887 0.027 0.878
Ga 0.973 0.387 0.378

The crystal system is tetragonal. The calculated formation energy is -0.31 eV/atom.



(8)
Here is a relaxed structure of CrFe2Sb from Alexandria. Energies are from PBE.

a = 5.206 Å, b = 5.206 Å, c = 2.864 Å
α = 104.66°, β = 104.66°, γ = 119.76°
Element x y z (fractional)
Cr 0.000 0.000 0.000
Fe 0.000 0.500 0.500
Fe 0.500 0.000 0.500
Sb 0.500 0.500 0.000

The crystal system is monoclinic. The value obtained for the formation energy from raw total energies is 0.4483 eV/atom.



(9)
Here is a relaxed structure of BaAcIn from Alexandria. Energies are from PBE.

a = 5.796 Å, b = 5.796 Å, c = 4.105 Å
α = 90.00°, β = 90.00°, γ = 120.00°
Element x y z (fractional)
Ba 0.000 0.000 0.000
Ac 0.667 0.333 0.587
In 0.333 0.667 0.363

The crystal system is trigonal. The calculated formation energy is -0.16 eV/atom. The calculation puts the energy relative to the lowest polymorph listed for this composition at 0.1159 eV per atom.



(10)
Here is a relaxed structure of SrLaCd2 from Alexandria. Energies are from PBE.

a = 6.351 Å, b = 6.351 Å, c = 6.351 Å
α = 135.22°, β = 135.22°, γ = 65.19°
Element x y z (fractional)
Sr 0.000 0.000 0.000
La 0.750 0.250 0.500
Cd 0.250 0.750 0.500
Cd 0.500 0.500 0.000

The crystal system is tetragonal. The calculated formation energy is -0.13 eV/atom.



(11)
Here is a relaxed structure of K4TlCl5 from Alexandria. Energies are from PBE.

a = 7.847 Å, b = 7.847 Å, c = 7.847 Å
α = 99.58°, β = 99.58°, γ = 131.84°
Element x y z (fractional)
K 0.102 0.300 0.402
K 0.300 0.898 0.198
K 0.700 0.102 0.802
K 0.898 0.700 0.598
Tl 0.500 0.500 0.000
Cl 0.000 0.000 0.000
Cl 0.195 0.602 0.797
Cl 0.398 0.195 0.593
Cl 0.602 0.805 0.407
Cl 0.805 0.398 0.203

The crystal system is tetragonal. The value obtained for the formation energy from raw total energies is -1.7725 eV/atom.



(12)
Here is a relaxed structure of Tb3SmGa4 from Alexandria. Energies are from PBE.

a = 9.218 Å, b = 9.218 Å, c = 9.218 Å
α = 157.55°, β = 136.59°, γ = 49.41°
Element x y z (fractional)
Tb 0.000 0.000 0.000
Tb 0.298 0.798 0.500
Tb 0.702 0.202 0.500
Sm 0.500 0.500 0.000
Ga 0.060 0.369 0.691
Ga 0.321 0.631 0.691
Ga 0.679 0.369 0.309
Ga 0.940 0.631 0.309

The crystal system is orthorhombic. The calculated formation energy is -0.45 eV/atom. The calculation puts the energy relative to the lowest polymorph listed for this composition at 0.1276 eV per atom.